# PC, optimized geometry, DFT PBE-GGA
data_PC
_chemical_formula_sum 'P4 C4'
_space_group_name_H-M_alt 'C m c m'
_space_group_IT_number 63
_space_group_name_Hall '-C 2c 2'
_cell_length_a 3.939
_cell_length_b 7.346
_cell_length_c 2.943
_cell_angle_alpha 90.00
_cell_angle_beta 90.00
_cell_angle_gamma 90.00
loop_
_atom_site_label
_atom_site_type_symbol
_atom_site_fract_x
_atom_site_fract_y
_atom_site_fract_z
_atom_site_occupancy
P1 P 0.000 0.151 0.250 1
C1 C 0.000 0.305 0.750 1
# Crystal system   orthorhombic
# D(E_F)   0.272 states/eV/f.u.
# Total energy   -6.332 eV/atom



# HfZrAu2, optimized geometry, DFT PBE-GGA
data_HfZrAu2
_chemical_formula_sum 'Hf4 Zr4 Au8'
_space_group_name_H-M_alt 'F m -3 m'
_space_group_IT_number 225
_space_group_name_Hall '-F 4 2 3'
_cell_length_a 6.837
_cell_length_b 6.837
_cell_length_c 6.837
_cell_angle_alpha 90.00
_cell_angle_beta 90.00
_cell_angle_gamma 90.00
loop_
_atom_site_label
_atom_site_type_symbol
_atom_site_fract_x
_atom_site_fract_y
_atom_site_fract_z
_atom_site_occupancy
Hf1 Hf 0.000 0.000 0.000 1
Zr1 Zr 0.000 0.000 0.500 1
Au1 Au 0.250 0.250 0.250 1
# Crystal system   cubic
# D(E_F)   6.024 states/eV/f.u.
# Total energy   -6.699 eV/atom



# Tc2AsAu, optimized geometry, DFT PBE-GGA
data_Tc2AsAu
_chemical_formula_sum 'Tc4 As2 Au2'
_space_group_name_H-M_alt 'I m m m'
_space_group_IT_number 71
_space_group_name_Hall '-I 2 2'
_cell_length_a 3.071
_cell_length_b 4.569
_cell_length_c 9.001
_cell_angle_alpha 90.00
_cell_angle_beta 90.00
_cell_angle_gamma 90.00
loop_
_atom_site_label
_atom_site_type_symbol
_atom_site_fract_x
_atom_site_fract_y
_atom_site_fract_z
_atom_site_occupancy
Tc1 Tc 0.000 0.000 0.214 1
As1 As 0.000 0.500 0.500 1
Au1 Au 0.000 0.500 0.000 1
# Crystal system   orthorhombic
# D(E_F)   3.707 states/eV/f.u.
# Total energy   -6.900 eV/atom



# MnCd2Pb, optimized geometry, DFT PBE-GGA
data_MnCd2Pb
_chemical_formula_sum 'Mn2 Cd4 Pb2'
_space_group_name_H-M_alt 'I m m m'
_space_group_IT_number 71
_space_group_name_Hall '-I 2 2'
_cell_length_a 3.170
_cell_length_b 5.026
_cell_length_c 11.320
_cell_angle_alpha 90.00
_cell_angle_beta 90.00
_cell_angle_gamma 90.00
loop_
_atom_site_label
_atom_site_type_symbol
_atom_site_fract_x
_atom_site_fract_y
_atom_site_fract_z
_atom_site_occupancy
Mn1 Mn 0.000 0.000 0.000 1
Cd1 Cd 0.000 0.500 0.285 1
Pb1 Pb 0.000 0.000 0.500 1
# Crystal system   orthorhombic
# D(E_F)   2.292 states/eV/f.u.
# Total energy   -3.451 eV/atom



# BaSnHg4, optimized geometry, DFT PBE-GGA
data_BaSnHg4
_chemical_formula_sum 'Ba4 Sn4 Hg16'
_space_group_name_H-M_alt 'C 1 2/m 1'
_space_group_IT_number 12
_cell_length_a 11.018
_cell_length_b 7.185
_cell_length_c 9.698
_cell_angle_alpha 90.00
_cell_angle_beta 111.50
_cell_angle_gamma 90.00
loop_
_space_group_symop_operation_xyz
'x,y,z'
'-x,-y,-z'
'-x,y,-z'
'x,-y,z'
'x+1/2,y+1/2,z'
'-x+1/2,-y+1/2,-z'
'-x+1/2,y+1/2,-z'
'x+1/2,-y+1/2,z'
loop_
_atom_site_label
_atom_site_type_symbol
_atom_site_fract_x
_atom_site_fract_y
_atom_site_fract_z
_atom_site_occupancy
Ba1 Ba 0.188 0.000 0.283 1
Sn1 Sn 0.066 0.500 0.326 1
Hg1 Hg 0.000 0.207 0.500 1
Hg2 Hg 0.104 0.269 0.938 1
Hg3 Hg 0.210 0.000 0.764 1
# Crystal system   monoclinic
# D(E_F)   2.810 states/eV/f.u.
# Total energy   -1.491 eV/atom



# CoTcPb4, optimized geometry, DFT PBE-GGA
data_CoTcPb4
_chemical_formula_sum 'Co4 Tc4 Pb16'
_space_group_name_H-M_alt 'F -4 3 m'
_space_group_IT_number 216
_space_group_name_Hall 'F -4 2 3'
_cell_length_a 8.828
_cell_length_b 8.828
_cell_length_c 8.828
_cell_angle_alpha 90.00
_cell_angle_beta 90.00
_cell_angle_gamma 90.00
loop_
_atom_site_label
_atom_site_type_symbol
_atom_site_fract_x
_atom_site_fract_y
_atom_site_fract_z
_atom_site_occupancy
Co1 Co 0.000 0.000 0.000 1
Tc1 Tc 0.250 0.250 0.250 1
Pb1 Pb 0.125 0.125 0.625 1
# Crystal system   cubic
# D(E_F)   4.902 states/eV/f.u.
# Total energy   -4.106 eV/atom